La9Sb5CO4: single point on PBEsol structure, SCAN.

The value obtained for the energy is -34.2000 eV per atom. The space group is P4/n. For the density of states at the Fermi level, the calculation gives 2.83 states/eV/f.u.

abc: 10.409 10.409 9.363
angles: 90.00 90.00 90.00
Element x y z (fractional)
La: 0.023 0.171 0.003
La: 0.046 0.646 0.659
La: 0.146 0.954 0.341
La: 0.171 0.477 0.003
La: 0.250 0.250 0.681
La: 0.329 0.023 0.003
La: 0.354 0.546 0.341
La: 0.454 0.854 0.659
La: 0.477 0.329 0.003
La: 0.523 0.671 0.997
La: 0.546 0.146 0.341
La: 0.646 0.454 0.659
La: 0.671 0.977 0.997
La: 0.750 0.750 0.319
La: 0.829 0.523 0.997
La: 0.854 0.046 0.659
La: 0.954 0.354 0.341
La: 0.977 0.829 0.997
Sb: 0.055 0.652 0.301
Sb: 0.152 0.945 0.699
Sb: 0.250 0.250 0.312
Sb: 0.348 0.555 0.699
Sb: 0.445 0.848 0.301
Sb: 0.555 0.152 0.699
Sb: 0.652 0.445 0.301
Sb: 0.750 0.750 0.688
Sb: 0.848 0.055 0.301
Sb: 0.945 0.348 0.699
C: 0.250 0.250 0.932
C: 0.750 0.750 0.068
O: 0.024 0.628 0.902
O: 0.128 0.976 0.098
O: 0.372 0.524 0.098
O: 0.476 0.872 0.902
O: 0.524 0.128 0.098
O: 0.628 0.476 0.902
O: 0.872 0.024 0.902
O: 0.976 0.372 0.098